No. 1
A plane-wave DFT calculation with GGA-PBE was carried out for a geometry-optimized BeZnAg structure.

Summary:
Total magnetization: 0.00 Bohr magnetons per cell

Lattice parameters (Å, degrees): 2.775 2.775 10.541 90.00 90.00 90.00
Atoms (fractional coordinates):
Be1 0.000 0.000 0.000
Be2 0.500 0.500 0.500
Zn1 0.000 0.000 0.642
Zn2 0.500 0.500 0.142
Ag1 0.000 0.000 0.343
Ag2 0.500 0.500 0.843

---

No. 2
A plane-wave DFT calculation with GGA-PBE was carried out for a geometry-optimized YBe2Ni2 structure.

Summary:
Total magnetization: 0.00 Bohr magnetons per cell

Lattice parameters (Å, degrees): 6.857 6.857 2.705 90.00 90.00 90.00
Atoms (fractional coordinates):
Y1 0.000 0.000 0.000
Y2 0.500 0.500 0.000
Be1 0.112 0.388 0.000
Be2 0.388 0.888 0.000
Be3 0.612 0.112 0.000
Be4 0.888 0.612 0.000
Ni1 0.169 0.669 0.500
Ni2 0.331 0.169 0.500
Ni3 0.669 0.831 0.500
Ni4 0.831 0.331 0.500

---

Listing ΔE_f for the structures above in their given order: 101; -114 meV/atom.
Listing density of states at the Fermi level for the structures above in their given order: 0.969; 5.777 states/eV per cell.
Listing excess energy over the best structure of this formula in the dataset for the structures above in their given order: 0.150; 1.139 eV per formula unit.